1.
Mg3SbCl, optimized geometry, DFT PBE; ΔE_f (raw) = -53 meV/atom; Fermi-level density of states = 3.6 states/eV/cell; space group = No. 221; M_tot = 0.0 μB per formula unit
1.0
5.056 0.000 0.000
0.000 5.056 0.000
0.000 0.000 5.056
Mg Sb Cl
3 1 1
direct
0.000 0.000 0.500
0.000 0.500 0.000
0.500 0.000 0.000
0.500 0.500 0.500
0.000 0.000 0.000

***

2.
SrMnW2, optimized geometry, DFT PBE; Fermi-level density of states = 4.6 states/eV/cell; formation energy = 1257 meV per atom; space group = No. 139; M_tot = 3.0 μB per formula unit
1.0
-1.972 1.972 4.963
1.972 -1.972 4.963
1.972 1.972 -4.963
Sr Mn W
1 1 2
direct
0.000 0.000 0.000
0.500 0.500 0.000
0.250 0.750 0.500
0.750 0.250 0.500

***

3.
Sr5Tl4Zn, optimized geometry, DFT PBE; Fermi-level density of states = 7.2 states/eV/cell; formation energy = -377 meV per atom; space group = No. 123; M_tot = 0.0 μB per formula unit
1.0
4.049 0.000 0.000
0.000 4.049 0.000
0.000 0.000 20.561
Sr Tl Zn
5 4 1
direct
0.000 0.000 0.000
0.000 0.000 0.203
0.000 0.000 0.407
0.000 0.000 0.593
0.000 0.000 0.797
0.500 0.500 0.102
0.500 0.500 0.303
0.500 0.500 0.697
0.500 0.500 0.898
0.500 0.500 0.500

***

4.
PuFeNi, optimized geometry, DFT PBE; Fermi-level density of states = 12.3 states/eV/cell; formation energy = -187 meV per atom; space group = No. 74; M_tot = 3.1 μB per formula unit
1.0
-2.470 2.537 3.651
2.470 -2.537 3.651
2.470 2.537 -3.651
Pu Fe Ni
2 2 2
direct
0.372 0.122 0.250
0.628 0.878 0.750
0.000 0.500 0.500
0.500 0.500 0.000
0.000 0.000 0.500
0.000 0.500 0.000

***

5.
La3Pr2Nd3, optimized geometry, DFT PBE; Fermi-level density of states = 12.5 states/eV/cell; formation energy = 72 meV per atom; space group = No. 12; M_tot = 0.0 μB per formula unit
1.0
8.412 -3.009 0.000
8.412 3.009 0.000
-2.266 0.000 5.764
La Pr Nd
3 2 3
direct
0.000 0.000 0.000
0.134 0.134 0.577
0.866 0.866 0.423
0.251 0.251 0.183
0.749 0.749 0.817
0.368 0.368 0.817
0.500 0.500 0.500
0.632 0.632 0.183

***

6.
AlInHPb2, optimized geometry, DFT PBE; energy = -16.37 eV for the cell shown; Fermi-level density of states = 2.0 states/eV/cell; space group = No. 123; M_tot = 0.0 μB per formula unit
1.0
5.830 0.000 0.000
0.000 5.830 0.000
0.000 0.000 3.418
Al In H Pb
1 1 1 2
direct
0.000 0.000 0.000
0.500 0.500 0.500
0.000 0.000 0.500
0.000 0.500 0.000
0.500 0.000 0.000

***

7.
Li7Tl2Pb, optimized geometry, DFT PBE; Fermi-level density of states = 3.7 states/eV/cell; formation energy = -157 meV per atom; space group = No. 156; M_tot = 0.0 μB per formula unit
1.0
4.794 0.000 0.000
-2.397 4.152 0.000
0.000 0.000 10.204
Li Tl Pb
7 2 1
direct
0.000 0.000 0.000
0.000 0.000 0.242
0.000 0.000 0.486
0.333 0.667 0.055
0.333 0.667 0.689
0.667 0.333 0.554
0.667 0.333 0.856
0.000 0.000 0.743
0.333 0.667 0.381
0.667 0.333 0.160

***

8.
La4Bi2C, optimized geometry, DFT PBE; Fermi-level density of states = 5.5 states/eV/cell; formation energy = -652 meV per atom; space group = No. 139; M_tot = 0.0 μB per formula unit
1.0
-2.582 2.582 8.431
2.582 -2.582 8.431
2.582 2.582 -8.431
La Bi C
4 2 1
direct
0.000 0.500 0.500
0.156 0.156 0.000
0.500 0.000 0.500
0.844 0.844 0.000
0.358 0.358 0.000
0.642 0.642 0.000
0.000 0.000 0.000

***

Copy entry 7 word for word.
Li7Tl2Pb, optimized geometry, DFT PBE; Fermi-level density of states = 3.7 states/eV/cell; formation energy = -157 meV per atom; space group = No. 156; M_tot = 0.0 μB per formula unit
1.0
4.794 0.000 0.000
-2.397 4.152 0.000
0.000 0.000 10.204
Li Tl Pb
7 2 1
direct
0.000 0.000 0.000
0.000 0.000 0.242
0.000 0.000 0.486
0.333 0.667 0.055
0.333 0.667 0.689
0.667 0.333 0.554
0.667 0.333 0.856
0.000 0.000 0.743
0.333 0.667 0.381
0.667 0.333 0.160

***

> Which of these has the highest M_tot?

PuFeNi